A crystal of YAs3Os relaxed with PBEsol, computed with SCAN.

Calculated values
**Density of states at the Fermi level**: 1.002 states/eV/atom
**Formation energy**: 4.2 kcal/mol of atoms

```
5
Lattice="4.8004 0.0000 0.0000 0.0000 4.8004 0.0000 0.0000 0.0000 4.8004" Properties=species:S:1:pos:R:3 pbc="T T T"
Y 2.4002 2.4002 2.4002
As 0.0000 2.4002 0.0000
As 0.0000 0.0000 2.4002
As 2.4002 0.0000 0.0000
Os 0.0000 0.0000 0.0000
```